[1]
## Nd4Tl2Te (PBE)

Data for a geometry-optimized Nd4Tl2Te structure.

Lattice parameters (Å, degrees): 8.3111 8.3114 8.3112 109.40 109.40 109.61
With the nearest neighbours (Å) after each atom.
Fractional coordinates of all 14 atoms:
Tl (0.6249, 0.2483, 0.1234)  8 Nd 3.17-3.47
Tl (0.7517, 0.8751, 0.3766)  8 Nd 3.17-3.47
Tl (0.1252, 0.5017, 0.8766)  8 Nd 3.17-3.47
Tl (0.4983, 0.3749, 0.6234)  8 Nd 3.17-3.47
Nd (0.2328, 0.1245, 0.7465)  4 Tl 3.17-3.47, 2 Te 3.19-3.47
Nd (0.7364, 0.1284, 0.7534)  4 Tl 3.17-3.47, 2 Te 3.19-3.48
Nd (0.5138, 0.7672, 0.8918)  4 Tl 3.17-3.47, 2 Te 3.19-3.47
Nd (0.8752, 0.6217, 0.1082)  4 Tl 3.17-3.47, 2 Te 3.19-3.48
Nd (0.0172, 0.2637, 0.3918)  4 Tl 3.17-3.47, 2 Te 3.19-3.47
Nd (0.3744, 0.9827, 0.2465)  4 Tl 3.17-3.47, 2 Te 3.19-3.47
Nd (0.3783, 0.4864, 0.2535)  4 Tl 3.17-3.47, 2 Te 3.19-3.48
Nd (0.8718, 0.6252, 0.6082)  4 Tl 3.17-3.47, 2 Te 3.19-3.48
Te (0.2500, 0.7500, 0.5000)  8 Nd 3.19-3.48
Te (0.9999, 0.0000, 0.9999)  8 Nd 3.19-3.48

Properties
- Energy relative to the elements, uncorrected: -0.64 eV/atom

[2]
## Nd3TlTe (PBE)

Data for a geometry-optimized Nd3TlTe structure.

Lattice parameters (Å, degrees): 4.1585 8.7299 9.2243 106.78 90.00 90.00
With the nearest neighbours (Å) after each atom.
Fractional coordinates of all 10 atoms:
Nd (0.2500, 0.3501, 0.5738)  3 Te 3.21-3.29, 2 Tl 3.26
Nd (0.7500, 0.3207, 0.9469)  1 Tl 3.16, 3 Te 3.26-3.37
Nd (0.2500, 0.6793, 0.0531)  1 Tl 3.16, 3 Te 3.26-3.37
Nd (0.7500, 0.1016, 0.2220)  2 Tl 3.22, 2 Te 3.26, 1 Nd 3.59
Nd (0.7500, 0.6499, 0.4262)  3 Te 3.21-3.29, 2 Tl 3.26
Nd (0.2500, 0.8984, 0.7780)  2 Tl 3.22, 2 Te 3.26, 1 Nd 3.59
Te (0.7500, 0.6080, 0.7694)  8 Nd 3.21-3.37
Te (0.2500, 0.3920, 0.2306)  8 Nd 3.21-3.37
Tl (0.2500, 0.9203, 0.3825)  2 Tl 3.04, 5 Nd 3.16-3.26
Tl (0.7500, 0.0797, 0.6175)  2 Tl 3.04, 5 Nd 3.16-3.26

Properties
- Energy relative to the elements, uncorrected: -0.68 eV/atom

[3]
## Nd3TlTe4 (PBE)

Data for a geometry-optimized Nd3TlTe4 structure.

Lattice parameters (Å, degrees): 6.4091 9.7228 10.6682 90.00 90.00 90.00
With the nearest neighbours (Å) after each atom.
Fractional coordinates of all 16 atoms:
Nd (0.5642, 0.8194, 0.0000)  5 Te 3.11-3.22
Nd (0.0646, 0.6654, 0.7496)  5 Te 3.09-3.21
Nd (0.5646, 0.3346, 0.7504)  5 Te 3.09-3.21
Nd (0.0646, 0.6654, 0.2504)  5 Te 3.09-3.21
Nd (0.0642, 0.1806, 0.5000)  5 Te 3.11-3.22
Nd (0.5646, 0.3346, 0.2496)  5 Te 3.09-3.21
Te (0.5642, 0.1759, 0.5000)  4 Nd 3.09-3.20, 1 Tl 3.25
Te (0.5646, 0.6543, 0.2491)  4 Nd 3.11-3.21, 1 Tl 3.24
Te (0.0646, 0.3457, 0.2509)  4 Nd 3.11-3.21, 1 Tl 3.24
Te (0.5643, 0.1510, 0.0000)  2 Tl 3.21, 3 Nd 3.21-3.22
Te (0.5646, 0.6543, 0.7509)  4 Nd 3.11-3.21, 1 Tl 3.24
Te (0.0646, 0.3457, 0.7491)  4 Nd 3.11-3.21, 1 Tl 3.24
Te (0.0642, 0.8241, 0.0000)  4 Nd 3.09-3.20, 1 Tl 3.25
Te (0.0643, 0.8490, 0.5000)  2 Tl 3.21, 3 Nd 3.21-3.22
Tl (0.0643, 0.1588, 0.0000)  5 Te 3.21-3.25
Tl (0.5643, 0.8412, 0.5000)  5 Te 3.21-3.25

Properties
- Energy relative to the elements, uncorrected: -1.03 eV/atom

[4]
## NdTlTe2 (PBE)

Data for a geometry-optimized NdTlTe2 structure.

Lattice parameters (Å, degrees): 8.5883 8.5883 8.5883 30.89 30.89 30.89
With the nearest neighbours (Å) after each atom.
Fractional coordinates of all 4 atoms:
Te (0.7402, 0.7402, 0.7402)  3 Nd 3.20, 3 Tl 3.49
Te (0.2598, 0.2598, 0.2598)  3 Nd 3.20, 3 Tl 3.49
Tl (0.5000, 0.5000, 0.5000)  6 Te 3.49
Nd (0.0000, 0.0000, 0.0000)  6 Te 3.20

Properties
- Energy relative to the elements, uncorrected: -1.07 eV/atom

[5]
## Nd3TlTe4 (PBE)

Data for a geometry-optimized Nd3TlTe4 structure.

Lattice parameters (Å, degrees): 4.5131 4.5131 31.3625 90.00 90.00 120.00
With the nearest neighbours (Å) after each atom.
Fractional coordinates of all 16 atoms:
Nd (0.0000, 0.0000, 0.5000)  6 Te 3.19
Nd (0.3333, 0.6667, 0.6172)  6 Te 3.18-3.19
Nd (0.0000, 0.0000, 0.0000)  6 Te 3.19
Nd (0.6667, 0.3333, 0.3828)  6 Te 3.18-3.19
Nd (0.6667, 0.3333, 0.1172)  6 Te 3.18-3.19
Nd (0.3333, 0.6667, 0.8828)  6 Te 3.18-3.19
Te (0.6667, 0.3333, 0.5587)  6 Nd 3.19
Te (0.3333, 0.6667, 0.0587)  6 Nd 3.19
Te (0.0000, 0.0000, 0.3246)  3 Nd 3.18, 3 Tl 3.50
Te (0.6667, 0.3333, 0.9413)  6 Nd 3.19
Te (0.0000, 0.0000, 0.8246)  3 Nd 3.18, 3 Tl 3.50
Te (0.0000, 0.0000, 0.1754)  3 Nd 3.18, 3 Tl 3.50
Te (0.0000, 0.0000, 0.6754)  3 Nd 3.18, 3 Tl 3.50
Te (0.3333, 0.6667, 0.4413)  6 Nd 3.19
Tl (0.6667, 0.3333, 0.7500)  6 Te 3.50
Tl (0.3333, 0.6667, 0.2500)  6 Te 3.50

Properties
- Energy relative to the elements, uncorrected: -1.24 eV/atom

[6]
## Nd2TlTe3 (PBE)

Data for a geometry-optimized Nd2TlTe3 structure.

Lattice parameters (Å, degrees): 4.4908 4.4908 24.2399 90.00 90.00 120.00
With the nearest neighbours (Å) after each atom.
Fractional coordinates of all 12 atoms:
Tl (0.0000, 0.0000, 0.2500)  6 Te 3.50
Tl (0.0000, 0.0000, 0.7500)  6 Te 3.50
Te (0.6667, 0.3333, 0.6532)  3 Nd 3.18, 3 Tl 3.50
Te (0.6667, 0.3333, 0.8468)  3 Nd 3.18, 3 Tl 3.50
Te (0.3333, 0.6667, 0.1532)  3 Nd 3.18, 3 Tl 3.50
Te (0.0000, 0.0000, 0.0000)  6 Nd 3.20
Te (0.3333, 0.6667, 0.3468)  3 Nd 3.18, 3 Tl 3.50
Te (0.0000, 0.0000, 0.5000)  6 Nd 3.20
Nd (0.3333, 0.6667, 0.9227)  6 Te 3.18-3.20
Nd (0.3333, 0.6667, 0.5773)  6 Te 3.18-3.20
Nd (0.6667, 0.3333, 0.4227)  6 Te 3.18-3.20
Nd (0.6667, 0.3333, 0.0773)  6 Te 3.18-3.20

Properties
- Energy relative to the elements, uncorrected: -1.19 eV/atom

[7]
## Nd7Tl2Te2 (PBE)

Data for a geometry-optimized Nd7Tl2Te2 structure.

Lattice parameters (Å, degrees): 4.0115 10.3226 10.3226 59.83 78.80 78.80
With the nearest neighbours (Å) after each atom.
Fractional coordinates of all 11 atoms:
Nd (0.6125, 0.4858, 0.2892)  2 Te 3.17, 3 Tl 3.26-3.35
Nd (0.8487, 0.4308, 0.8718)  3 Te 3.26-3.65, 2 Tl 3.38
Nd (0.3875, 0.7108, 0.5142)  2 Te 3.17, 3 Tl 3.26-3.35
Nd (0.1513, 0.1282, 0.5692)  3 Te 3.26-3.65, 2 Tl 3.38
Nd (0.1745, 0.7075, 0.9435)  3 Te 3.19-3.31, 1 Tl 3.23
Nd (0.5000, 0.0331, 0.9669)  3 Tl 3.22-3.31
Nd (0.8255, 0.0565, 0.2925)  3 Te 3.19-3.31, 1 Tl 3.23
Te (0.7467, 0.8424, 0.6642)  7 Nd 3.17-3.31
Te (0.2533, 0.3358, 0.1576)  7 Nd 3.17-3.31
Tl (0.5000, 0.3460, 0.6540)  7 Nd 3.22-3.38
Tl (0.0000, 0.7769, 0.2231)  8 Nd 3.23-3.35

Properties
- Energy relative to the elements, uncorrected: -0.60 eV/atom

[8]
## Nd3TlTe2 (PBE)

Data for a geometry-optimized Nd3TlTe2 structure.

Lattice parameters (Å, degrees): 4.8207 6.3343 7.9996 113.32 90.00 90.00
With the nearest neighbours (Å) after each atom.
Fractional coordinates of all 6 atoms:
Te (0.5000, 0.3530, 0.7061)  5 Nd 3.17-3.24
Te (0.5000, 0.6470, 0.2939)  5 Nd 3.17-3.24
Nd (0.5000, 0.8631, 0.7261)  2 Tl 3.14, 3 Te 3.17
Nd (0.5000, 0.1369, 0.2739)  2 Tl 3.14, 3 Te 3.17
Nd (0.0000, 0.5000, 0.0000)  2 Tl 3.17, 4 Te 3.24
Tl (0.0000, 0.0000, 0.0000)  6 Nd 3.14-3.17

Properties
- Energy relative to the elements, uncorrected: -0.96 eV/atom

[9]
## NdTlTe2 (PBE)

Data for a geometry-optimized NdTlTe2 structure.

Lattice parameters (Å, degrees): 4.5521 4.5521 8.7635 74.95 74.95 60.00
With the nearest neighbours (Å) after each atom.
Fractional coordinates of all 4 atoms:
Te (0.2615, 0.2615, 0.2155)  3 Nd 3.20, 3 Tl 3.58
Te (0.0731, 0.0731, 0.7806)  3 Nd 3.20, 3 Tl 3.49
Nd (0.6673, 0.6673, 0.9981)  6 Te 3.20
Tl (0.4980, 0.4980, 0.5059)  6 Te 3.49-3.58

Properties
- Energy relative to the elements, uncorrected: -1.05 eV/atom

[10]
## Nd2TlTe4 (PBE)

Data for a geometry-optimized Nd2TlTe4 structure.

Lattice parameters (Å, degrees): 4.5077 8.0607 15.0373 90.00 90.00 106.24
With the nearest neighbours (Å) after each atom.
Fractional coordinates of all 14 atoms:
Nd (0.8633, 0.7265, 0.5561)  6 Te 3.13-3.20
Nd (0.8633, 0.7265, 0.9439)  6 Te 3.13-3.20
Nd (0.1367, 0.2735, 0.0561)  6 Te 3.13-3.20
Nd (0.1367, 0.2735, 0.4439)  6 Te 3.13-3.20
Te (0.2388, 0.4777, 0.6256)  3 Nd 3.14-3.16
Te (0.2388, 0.4777, 0.8744)  3 Nd 3.14-3.16
Te (0.5000, 0.0000, 0.0000)  4 Nd 3.20
Te (0.0638, 0.1276, 0.2500)  2 Nd 3.13, 2 Tl 3.22
Te (0.5000, 0.0000, 0.5000)  4 Nd 3.20
Te (0.7612, 0.5223, 0.1256)  3 Nd 3.14-3.16
Te (0.9362, 0.8724, 0.7500)  2 Nd 3.13, 2 Tl 3.22
Te (0.7612, 0.5223, 0.3744)  3 Nd 3.14-3.16
Tl (0.4154, 0.8307, 0.2500)  2 Te 3.22
Tl (0.5846, 0.1693, 0.7500)  2 Te 3.22

Properties
- Energy relative to the elements, uncorrected: -1.01 eV/atom

[11]
## NdTm2Tl3Te6 (PBE)

Data for a geometry-optimized NdTm2Tl3Te6 structure.

Lattice parameters (Å, degrees): 7.7332 7.7332 8.5815 98.66 98.66 119.97
With the nearest neighbours (Å) after each atom.
Fractional coordinates of all 12 atoms:
Te (0.9284, 0.5845, 0.7856)  2 Tm 3.08-3.09, 1 Nd 3.19, 1 Tl 3.45
Te (0.4155, 0.0716, 0.2144)  2 Tm 3.08-3.09, 1 Nd 3.19, 1 Tl 3.45
Te (0.7265, 0.7265, 0.2116)  2 Tm 3.08, 1 Nd 3.18, 1 Tl 3.44
Te (0.2735, 0.2735, 0.7884)  2 Tm 3.08, 1 Nd 3.18, 1 Tl 3.44
Te (0.0716, 0.4155, 0.2144)  2 Tm 3.08-3.09, 1 Nd 3.19, 1 Tl 3.45
Te (0.5845, 0.9284, 0.7856)  2 Tm 3.08-3.09, 1 Nd 3.19, 1 Tl 3.45
Tl (0.8368, 0.1632, 0.5000)  6 Te 3.45-3.51
Tl (0.5000, 0.5000, 0.5000)  6 Te 3.44-3.51
Tl (0.1632, 0.8368, 0.5000)  6 Te 3.45-3.51
Tm (0.6672, 0.3328, 0.0000)  6 Te 3.08-3.09
Tm (0.3328, 0.6672, 0.0000)  6 Te 3.08-3.09
Nd (0.0000, 0.0000, 0.0000)  6 Te 3.18-3.19

Properties
- Energy relative to the elements, uncorrected: -1.04 eV/atom

[12]
## NdTm3Tl4Te8 (PBE)

Data for a geometry-optimized NdTm3Tl4Te8 structure.

Lattice parameters (Å, degrees): 8.9037 9.6672 8.9032 117.43 120.00 90.00
With the nearest neighbours (Å) after each atom.
Fractional coordinates of all 16 atoms:
Te (0.2714, 0.2860, 0.0287)  2 Tm 3.08, 1 Nd 3.17, 1 Tl 3.42
Te (0.7286, 0.7140, 0.9713)  2 Tm 3.08, 1 Nd 3.17, 1 Tl 3.42
Te (0.2427, 0.7140, 0.9713)  2 Tm 3.08, 1 Nd 3.17, 1 Tl 3.42
Te (0.7573, 0.2860, 0.0287)  2 Tm 3.08, 1 Nd 3.17, 1 Tl 3.42
Te (0.2637, 0.2910, 0.5273)  3 Tm 3.09
Te (0.2427, 0.7139, 0.4854)  2 Tm 3.08, 1 Nd 3.17, 1 Tl 3.42
Te (0.7363, 0.7090, 0.4727)  3 Tm 3.09
Te (0.7573, 0.2861, 0.5146)  2 Tm 3.08, 1 Nd 3.17, 1 Tl 3.42
Tl (0.5000, 0.0000, 0.5000)  6 Te 3.50
Tl (0.5000, 0.0000, 0.0000)  6 Te 3.42
Tl (0.0000, 0.0000, 0.5000)  6 Te 3.50
Tl (0.0000, 0.0000, 0.0000)  6 Te 3.50
Tm (0.5000, 0.5000, 0.0000)  6 Te 3.08-3.09
Tm (0.0000, 0.5000, 0.5000)  6 Te 3.08-3.09
Tm (0.5000, 0.5000, 0.5000)  6 Te 3.08-3.09
Nd (0.0000, 0.5000, 0.0000)  6 Te 3.17

Properties
- Energy relative to the elements, uncorrected: -1.04 eV/atom

Number 1: volume 442.0 Å³ per cell, uncorrected energy -62.8 eV/cell. Number 2: volume 320.6 Å³ per cell, uncorrected energy -46.4 eV/cell. Number 3: volume 664.8 Å³ per cell, uncorrected energy -75.0 eV/cell. Number 4: volume 148.1 Å³ per cell, uncorrected energy -17.7 eV/cell. Number 5: volume 553.2 Å³ per cell, uncorrected energy -78.4 eV/cell. Number 6: volume 423.4 Å³ per cell, uncorrected energy -56.9 eV/cell. Number 7: volume 360.1 Å³ per cell, uncorrected energy -51.0 eV/cell. Number 8: volume 224.3 Å³ per cell, uncorrected energy -28.7 eV/cell. Number 9: volume 150.0 Å³ per cell, uncorrected energy -17.6 eV/cell. Number 10: volume 524.6 Å³ per cell, uncorrected energy -63.1 eV/cell. Number 11: volume 423.9 Å³ per cell, uncorrected energy -52.2 eV/cell. Number 12: volume 562.0 Å³ per cell, uncorrected energy -69.4 eV/cell.